(1)
! K8HI4Cl3 | Alexandria via LeMat-Bulk | PBE | relaxed; values from VASP
! - DOS at the Fermi energy: 0.000 states/eV/f.u.
! - Raw total energy: -47.4 eV per cell
! - Symmetry: R-3m, No. 166
&SYSTEM
  ibrav = 0, nat = 16, ntyp = 4
/
ATOMIC_SPECIES
K 39.10 K.upf
H 1.01 H.upf
I 126.90 I.upf
Cl 35.45 Cl.upf
ATOMIC_POSITIONS angstrom
K 0.000 0.000 5.652
K -2.321 -1.340 13.466
K 0.000 -2.680 10.055
K -2.321 1.340 10.055
K 2.321 -1.340 13.466
K 0.000 2.680 13.466
K 2.321 1.340 10.055
K 0.000 0.000 17.869
H 0.000 0.000 11.760
I 0.000 0.000 0.000
I -2.367 -1.366 7.840
I -2.367 1.366 15.680
I 0.000 2.733 7.840
Cl -4.733 0.000 11.760
Cl -2.367 1.366 3.920
Cl 2.367 1.366 3.920
CELL_PARAMETERS angstrom
4.733 2.733 7.840
-4.733 2.733 7.840
0.000 -5.466 7.840

***

(2)
! Tb7Tm2Th2 | Alexandria via LeMat-Bulk | PBE | relaxed; values from VASP
! - Energy of formation from the pure elements: 0.177 eV per atom
! - DOS at the Fermi energy: 16.614 states/eV/f.u.
! - Raw total energy: -54.2 eV per cell
! - Symmetry: C2/m, No. 12
! - Offset from the most stable computed form: 0 meV per atom
&SYSTEM
  ibrav = 0, nat = 11, ntyp = 3
/
ATOMIC_SPECIES
Tb 158.93 Tb.upf
Tm 168.93 Tm.upf
Th 232.04 Th.upf
ATOMIC_POSITIONS angstrom
Tb 0.000 0.000 0.000
Tb 1.642 3.000 4.633
Tb 1.204 0.000 3.276
Tb 7.111 3.000 0.970
Tb 1.642 -3.000 4.633
Tb 7.550 0.000 2.327
Tb 7.111 -3.000 0.970
Tm 4.377 3.199 2.802
Tm 4.377 -3.199 2.802
Th 4.227 0.000 1.094
Th 4.526 0.000 4.509
CELL_PARAMETERS angstrom
5.567 -5.696 0.000
5.567 5.696 0.000
-2.380 0.000 5.603

***

- Which of these has the lowest DOS at the Fermi energy?
  K8HI4Cl3

***

- Among the records above, which one has the lowest raw total energy?
  Tb7Tm2Th2